Below is a crystal of Sr2LaAg relaxed with PBEsol, with properties calculated at the meta-GGA SCAN level.

Lattice parameters (Å, degrees): 3.858 3.858 9.922 90.00 90.00 90.00
Sites, in units of the cell vectors:
La (0.000, 0.000, 0.682)
Sr (0.500, 0.500, 0.984)
Sr (0.000, 0.000, 0.318)
Ag (0.500, 0.500, 0.515)

## Properties
Magnetization ... 0.29 μB/cell
Energy of formation from the pure elements ... -9 kJ/mol of atoms
Symmetry ... No. 99